1.
The following is a DFT calculation (PBE) of an optimized crystal structure of Zr3Ga3Co2Ir.

Cell lengths 7.001, 7.001, 3.449 Å; angles 90.00, 90.00, 120.00 degrees
Positions (direct):
Zr 0.000 0.594 0.000
Zr 0.406 0.406 0.000
Zr 0.594 0.000 0.000
Ga 0.000 0.273 0.500
Ga 0.273 0.000 0.500
Ga 0.727 0.727 0.500
Co 0.333 0.667 0.500
Co 0.667 0.333 0.500
Ir 0.000 0.000 0.000

2.
The following is a DFT calculation (PBE) of an optimized crystal structure of Pm2SbS.

Cell lengths 4.294, 4.294, 6.074 Å; angles 90.00, 90.00, 90.00 degrees
Positions (direct):
Pm 0.000 0.000 0.000
Pm 0.500 0.500 0.500
Sb 0.000 0.000 0.500
S 0.500 0.500 0.000

3.
The following is a DFT calculation (PBE) of an optimized crystal structure of CsHoCl3.

Cell lengths 7.526, 7.526, 9.236 Å; angles 90.00, 90.00, 120.00 degrees
Positions (direct):
Cs 0.000 0.000 0.000
Cs 0.333 0.667 0.667
Cs 0.667 0.333 0.333
Ho 0.000 0.000 0.493
Ho 0.333 0.667 0.160
Ho 0.667 0.333 0.827
Cl 0.000 0.500 0.993
Cl 0.167 0.333 0.327
Cl 0.167 0.833 0.327
Cl 0.333 0.167 0.660
Cl 0.500 0.000 0.993
Cl 0.500 0.500 0.993
Cl 0.667 0.833 0.327
Cl 0.833 0.167 0.660
Cl 0.833 0.667 0.660

4.
The following is a DFT calculation (PBE) of an optimized crystal structure of HfMgZrFe.

Cell lengths 6.622, 6.622, 6.622 Å; angles 90.00, 90.00, 90.00 degrees
Positions (direct):
Hf 0.000 0.000 0.000
Hf 0.000 0.500 0.500
Hf 0.500 0.000 0.500
Hf 0.500 0.500 0.000
Mg 0.250 0.250 0.750
Mg 0.250 0.750 0.250
Mg 0.750 0.250 0.250
Mg 0.750 0.750 0.750
Zr 0.000 0.000 0.500
Zr 0.000 0.500 0.000
Zr 0.500 0.000 0.000
Zr 0.500 0.500 0.500
Fe 0.250 0.250 0.250
Fe 0.250 0.750 0.750
Fe 0.750 0.250 0.750
Fe 0.750 0.750 0.250

5.
The following is a DFT calculation (PBE) of an optimized crystal structure of NdGa2CuPd.

Cell lengths 4.348, 4.348, 10.012 Å; angles 90.00, 90.00, 90.00 degrees
Positions (direct):
Nd 0.250 0.250 0.245
Nd 0.750 0.750 0.755
Ga 0.250 0.250 0.881
Ga 0.250 0.750 0.500
Ga 0.750 0.250 0.500
Ga 0.750 0.750 0.119
Cu 0.250 0.750 0.000
Cu 0.750 0.250 0.000
Pd 0.250 0.250 0.633
Pd 0.750 0.750 0.367

6.
The following is a DFT calculation (PBE) of an optimized crystal structure of CsRbThTe3.

Cell lengths 10.754, 10.754, 13.376 Å; angles 90.00, 90.00, 154.75 degrees
Positions (direct):
Cs 0.149 0.851 0.750
Cs 0.851 0.149 0.250
Rb 0.121 0.879 0.250
Rb 0.879 0.121 0.750
Th 0.500 0.500 0.000
Th 0.500 0.500 0.500
Te 0.099 0.901 0.001
Te 0.099 0.901 0.499
Te 0.492 0.508 0.250
Te 0.508 0.492 0.750
Te 0.901 0.099 0.501
Te 0.901 0.099 0.999

The records above give, respectively, VASP energy values of -63.4, -23.8, -61.4, -112.2, -45.6, -50.1 eV per cell.